Compound: MoPIrO2
Source: Alexandria
Functional: PBE+U
Structure: relaxed

Results
The calculation puts the volume at 15.7 Å³ per atom. The size of the total moment comes out at 0.426 μB/atom. As for the space group: No. 123. The value obtained for the excess energy over the best structure of this formula in the dataset is 0.0 meV/atom. The calculation puts the density of states at the Fermi level at 0.799 states/eV/atom.

Unit cell a=3.7351 b=3.7351 c=5.6165 alpha=90.00 beta=90.00 gamma=90.00
Last column: magnetic moment on the atom in μB.
Fractional positions:
P (0.0000, 0.0000, 0.5000)  -0.05
Mo (0.0000, 0.0000, 0.0000)  1.29
Ir (0.5000, 0.5000, 0.5000)  0.93
O (0.0000, 0.5000, 0.0000)  -0.09
O (0.5000, 0.0000, 0.0000)  -0.09